[1]
The following is a DFT calculation (GGA-PBE) of crystalline Ce3Cd5Ga2 at its relaxed geometry.

Results
As for the energy relative to the elements: -1.71 eV per formula unit. The calculation puts the theoretical density at 7.38 g cm⁻³.

Cell: 9.5183 9.5183 9.5183 Å, 96.75 95.63 141.67°
With the nearest neighbours (Å) after each atom.
Fractional positions:
Ce 0.1272 0.2481 0.3753  4 Ga 3.31-3.54, 4 Cd 3.41-3.47
Ce 0.2500 0.2500 0.0000  4 Ga 3.01, 2 Ce 3.12, 2 Cd 3.20
Ce 0.3728 0.7481 0.1209  4 Ga 3.31-3.54, 4 Cd 3.41-3.47
Ce 0.6272 0.2519 0.8791  4 Ga 3.31-3.54, 4 Cd 3.41-3.47
Ce 0.7500 0.7500 0.0000  4 Ga 3.01, 2 Ce 3.12, 2 Cd 3.20
Ce 0.8728 0.7519 0.6247  4 Ga 3.31-3.54, 4 Cd 3.41-3.47
Cd 0.0005 0.7500 0.2505  5 Cd 2.90-3.19, 2 Ga 2.90, 1 Ce 3.20
Cd 0.1218 0.6434 0.7652  1 Ga 2.59, 4 Cd 2.86-2.90
Cd 0.2500 0.7500 0.5000  8 Cd 2.86-3.19
Cd 0.3782 0.1434 0.5216  1 Ga 2.59, 4 Cd 2.86-2.90
Cd 0.4995 0.7500 0.7495  5 Cd 2.90-3.19, 2 Ga 2.90, 1 Ce 3.20
Cd 0.5005 0.2500 0.2505  5 Cd 2.90-3.19, 2 Ga 2.90, 1 Ce 3.20
Cd 0.6218 0.8566 0.4784  1 Ga 2.59, 4 Cd 2.86-2.90
Cd 0.7500 0.2500 0.5000  8 Cd 2.86-3.19
Cd 0.8782 0.3566 0.2348  1 Ga 2.59, 4 Cd 2.86-2.90
Cd 0.9995 0.2500 0.7495  5 Cd 2.90-3.19, 2 Ga 2.90, 1 Ce 3.20
Ga 0.1332 0.8477 0.9810  3 Cd 2.59-2.90
Ga 0.3668 0.3477 0.7145  3 Cd 2.59-2.90
Ga 0.6332 0.6523 0.2855  3 Cd 2.59-2.90
Ga 0.8668 0.1523 0.0190  3 Cd 2.59-2.90

[2]
The following is a DFT calculation (GGA-PBE) of crystalline Ce2CdGa at its relaxed geometry.

Results
As for the energy relative to the elements: -1.27 eV per formula unit. The calculation puts the theoretical density at 7.53 g cm⁻³.

Cell: 3.9329 3.9329 6.5888 Å, 90.00 90.00 90.00°
With the nearest neighbours (Å) after each atom.
Fractional positions:
Ce 0.0000 0.0000 0.2083  1 Ce 2.74
Ce 0.0000 0.0000 0.7917  1 Ce 2.74
Cd 0.5000 0.5000 0.5000  2 Ga 3.29, 8 Ce 3.38
Ga 0.5000 0.5000 0.0000  8 Ce 3.10, 2 Cd 3.29